# 1
This record from the Alexandria database describes a geometry-optimized NaSr2Ca12 structure. The functional is PBE-GGA.

Values from the calculation:
Energy of formation, meV/atom: 209.2
Uncorrected energy, eV per atom: -1.704

Cell lengths 7.221, 7.221, 27.638 Å; angles 90.00, 90.00, 90.00 degrees
Space group P4/nbm (No. 125, origin choice 2)
Inequivalent atoms, fractional coordinates:
Na: 0.250 0.750 0.000 x2
Sr: 0.250 0.750 0.280 x4
Ca: 0.058 0.558 0.111 x8
Ca: 0.076 0.576 0.560 x8
Ca: 0.250 0.250 0.210 x4
Ca: 0.250 0.250 0.344 x4

# 2
This record from the Alexandria database describes a geometry-optimized BeOsBr2 structure. The functional is PBE-GGA.

Values from the calculation:
Uncorrected energy, eV per atom: -3.429
Energy above the most stable polymorph in this dataset, eV per atom: 0.9646
ΔE_f (raw), eV/atom: 1.146

Cell lengths 3.403, 4.190, 5.134 Å; angles 90.00, 91.60, 90.00 degrees
Space group P2/m (No. 10)
Inequivalent atoms, fractional coordinates:
Be: 0.000 0.000 0.000 x1
Os: 0.500 0.000 0.500 x1
Br: 0.272 0.500 0.254 x2

# 3
This record from the Alexandria database describes a geometry-optimized Sm4ErSb5 structure. The functional is PBE-GGA.

Values from the calculation:
Uncorrected energy, eV per atom: -5.562
ΔE_f (raw), eV/atom: -1.157

Cell lengths 9.946, 9.946, 6.293 Å; angles 90.00, 90.00, 90.00 degrees
Space group I4/m (No. 87)
Inequivalent atoms, fractional coordinates:
Sm: 0.098 0.700 0.000 x8
Er: 0.000 0.000 0.500 x2
Sb: 0.000 0.000 0.000 x2
Sb: 0.099 0.704 0.500 x8

# 4
This record from the Alexandria database describes a geometry-optimized Pr2MgNi structure. The functional is PBE-GGA.

Values from the calculation:
Energy of formation, meV/atom: -24.3
Uncorrected energy, eV per atom: -4.258
Energy above the most stable polymorph in this dataset, eV per atom: 0.1171

Cell lengths 6.879, 3.965, 8.976 Å; angles 90.00, 104.50, 90.00 degrees
Space group Cm (No. 8)
Inequivalent atoms, fractional coordinates:
Pr: 0.000 0.000 0.000 x2
Pr: 0.207 0.000 0.624 x2
Mg: 0.271 0.500 0.312 x2
Ni: 0.104 0.500 0.814 x2

# 5
This record from the Alexandria database describes a geometry-optimized Cd2Sn2Pd structure. The functional is PBE-GGA.

Values from the calculation:
Energy of formation, meV/atom: -49.7
Uncorrected energy, eV per atom: -3.055
Energy above the most stable polymorph in this dataset, eV per atom: 0.0000

Cell lengths 7.049, 7.049, 4.877 Å; angles 90.00, 90.00, 90.00 degrees
Space group P4/mbm (No. 127)
Inequivalent atoms, fractional coordinates:
Cd: 0.166 0.334 0.000 x4
Sn: 0.153 0.653 0.500 x4
Pd: 0.000 0.000 0.500 x2

# 6
This record from the Alexandria database describes a geometry-optimized Sc2Ta2Mo structure. The functional is PBE-GGA.

Values from the calculation:
Energy of formation, meV/atom: 805.6
Uncorrected energy, eV per atom: -8.634
Energy above the most stable polymorph in this dataset, eV per atom: 0.5302

Cell lengths 3.819, 3.819, 13.896 Å; angles 90.00, 90.00, 90.00 degrees
Space group I4/mmm (No. 139)
Inequivalent atoms, fractional coordinates:
Sc: 0.000 0.500 0.250 x4
Ta: 0.000 0.000 0.087 x4
Mo: 0.000 0.000 0.500 x2

# 7
This record from the Alexandria database describes a geometry-optimized YIF2 structure. The functional is PBE-GGA.

Values from the calculation:
Uncorrected energy, eV per atom: -5.205
Energy above the most stable polymorph in this dataset, eV per atom: 0.8220
ΔE_f (raw), eV/atom: -2.266

Cell lengths 6.587, 6.587, 6.587 Å; angles 90.00, 90.00, 90.00 degrees
Space group Fm-3m (No. 225)
Inequivalent atoms, fractional coordinates:
Y: 0.000 0.000 0.000 x4
I: 0.000 0.000 0.500 x4
F: 0.250 0.250 0.250 x8

# 8
This record from the Alexandria database describes a geometry-optimized KCd3Hg structure. The functional is PBE-GGA.

Values from the calculation:
Energy of formation, meV/atom: 423.8
Uncorrected energy, eV per atom: -0.405
Energy above the most stable polymorph in this dataset, eV per atom: 0.5367

Cell lengths 6.799, 6.799, 6.799 Å; angles 90.00, 90.00, 90.00 degrees
Space group Pm-3m (No. 221)
Inequivalent atoms, fractional coordinates:
K: 0.000 0.000 0.000 x1
Cd: 0.000 0.000 0.500 x3
Hg: 0.500 0.500 0.500 x1

# 9
This record from the Alexandria database describes a geometry-optimized AlAgBr2 structure. The functional is PBE-GGA.

Values from the calculation:
Uncorrected energy, eV per atom: -2.669
Energy above the most stable polymorph in this dataset, eV per atom: 0.2983
ΔE_f (raw), eV/atom: -0.184

Cell lengths 3.528, 6.885, 9.126 Å; angles 90.00, 90.00, 90.00 degrees
Space group Cmm2 (No. 35)
Inequivalent atoms, fractional coordinates:
Al: 0.000 0.000 0.000 x2
Ag: 0.000 0.500 0.792 x2
Br: 0.000 0.000 0.574 x2
Br: 0.000 0.500 0.203 x2

# 10
This record from the Alexandria database describes a geometry-optimized TaTiNiW structure. The functional is PBE-GGA.

Values from the calculation:
Energy of formation, meV/atom: -125.7
Uncorrected energy, eV per atom: -9.746

Cell lengths 6.278, 6.278, 6.278 Å; angles 90.00, 90.00, 90.00 degrees
Space group F-43m (No. 216)
Inequivalent atoms, fractional coordinates:
Ta: 0.000 0.000 0.000 x4
Ti: 0.000 0.000 0.500 x4
Ni: 0.250 0.250 0.250 x4
W: 0.250 0.250 0.750 x4

# 11
This record from the Alexandria database describes a geometry-optimized CuTeF2 structure. The functional is PBE-GGA.

Values from the calculation:
Uncorrected energy, eV per atom: -3.512
Energy above the most stable polymorph in this dataset, eV per atom: 0.2110
ΔE_f (raw), eV/atom: -0.767

Cell lengths 6.069, 6.069, 7.471 Å; angles 90.00, 90.00, 90.00 degrees
Space group I-42d (No. 122)
Inequivalent atoms, fractional coordinates:
Cu: 0.000 0.000 0.000 x4
Te: 0.000 0.000 0.500 x4
F: 0.138 0.250 0.125 x8

# 12
This record from the Alexandria database describes a geometry-optimized Dy2AlZn7 structure. The functional is PBE-GGA.

Values from the calculation:
Energy of formation, meV/atom: -318.5
Uncorrected energy, eV per atom: -2.505

Cell lengths 4.116, 4.116, 10.779 Å; angles 90.00, 90.00, 90.00 degrees
Space group P-4m2 (No. 115)
Inequivalent atoms, fractional coordinates:
Dy: 0.000 0.500 0.250 x2
Al: 0.000 0.000 0.500 x1
Zn: 0.000 0.000 0.000 x1
Zn: 0.000 0.500 0.639 x2
Zn: 0.000 0.500 0.863 x2
Zn: 0.500 0.500 0.000 x1
Zn: 0.500 0.500 0.500 x1

# 13
This record from the Alexandria database describes a geometry-optimized Pu6P2Se3S structure. The functional is PBE-GGA.

Values from the calculation:
Uncorrected energy, eV per atom: -10.715
ΔE_f (raw), eV/atom: -1.433

Cell lengths 17.768, 4.055, 8.151 Å; angles 90.00, 103.69, 90.00 degrees
Space group C2/m (No. 12)
Inequivalent atoms, fractional coordinates:
Pu: 0.004 0.000 0.241 x4
Pu: 0.165 0.500 0.092 x4
Pu: 0.170 0.500 0.576 x4
P: 0.167 0.000 0.334 x4
Se: 0.000 0.500 0.500 x2
Se: 0.166 0.000 0.834 x4
S: 0.000 0.500 0.000 x2

# 14
This record from the Alexandria database describes a geometry-optimized NpCrS4 structure. The functional is PBE-GGA.

Values from the calculation:
Uncorrected energy, eV per atom: -7.427
Energy above the most stable polymorph in this dataset, eV per atom: 0.0000
ΔE_f (raw), eV/atom: -0.914

Cell lengths 6.123, 3.733, 6.726 Å; angles 90.00, 107.32, 90.00 degrees
Space group P2/m (No. 10)
Inequivalent atoms, fractional coordinates:
Np: 0.000 0.000 0.000 x1
Cr: 0.500 0.500 0.000 x1
S: 0.261 0.500 0.223 x2
S: 0.290 0.000 0.792 x2

# 15
This record from the Alexandria database describes a geometry-optimized ZnHg2Ru structure. The functional is PBE-GGA.

Values from the calculation:
Energy of formation, meV/atom: 432.4
Uncorrected energy, eV per atom: -2.356

Cell lengths 3.029, 4.106, 5.808 Å; angles 90.00, 90.00, 90.00 degrees
Space group Pmmm (No. 47)
Inequivalent atoms, fractional coordinates:
Zn: 0.000 0.000 0.000 x1
Hg: 0.500 0.500 0.253 x2
Ru: 0.000 0.000 0.500 x1

# 16
This record from the Alexandria database describes a geometry-optimized Sr3Ac2Rh2 structure. The functional is PBE-GGA.

Values from the calculation:
Energy of formation, meV/atom: -374.0
Uncorrected energy, eV per atom: -4.369

Cell lengths 13.791, 4.238, 9.153 Å; angles 90.00, 110.78, 90.00 degrees
Space group C2/m (No. 12)
Inequivalent atoms, fractional coordinates:
Sr: 0.000 0.000 0.000 x2
Sr: 0.127 0.000 0.422 x4
Ac: 0.175 0.500 0.819 x4
Rh: 0.190 0.500 0.189 x4

# 17
This record from the Alexandria database describes a geometry-optimized Hf2HIrPt structure. The functional is PBE-GGA.

Values from the calculation:
Uncorrected energy, eV per atom: -8.332
Energy above the most stable polymorph in this dataset, eV per atom: 0.0000

Cell lengths 4.336, 4.336, 3.874 Å; angles 90.00, 90.00, 90.00 degrees
Space group P4/mmm (No. 123)
Inequivalent atoms, fractional coordinates:
Hf: 0.000 0.500 0.000 x2
H: 0.000 0.000 0.000 x1
Ir: 0.000 0.000 0.500 x1
Pt: 0.500 0.500 0.500 x1

# 18
This record from the Alexandria database describes a geometry-optimized La4Pa3CrN8 structure. The functional is PBE-GGA.

Values from the calculation:
Uncorrected energy, eV per atom: -9.094
ΔE_f (raw), eV/atom: -1.317

Cell lengths 7.0236, 7.0236, 17.8343 Å; angles 90.00, 90.00, 120.00 degrees
Space group R-3m (No. 166, hexagonal axes)
Inequivalent atoms, fractional coordinates:
La: 0.0000 0.0000 0.0000 x3
La: 0.0000 0.5000 0.0000 x9
Pa: 0.0000 0.5000 0.5000 x9
Cr: 0.0000 0.0000 0.5000 x3
N: 0.0000 0.0000 0.2346 x6
N: 0.0036 0.5018 0.2334 x18

# 19
This record from the Alexandria database describes a geometry-optimized ReSi structure. The functional is PBE-GGA.

Values from the calculation:
Uncorrected energy, eV per atom: -8.367
ΔE_f (raw), eV/atom: 0.569

Cell lengths 4.1346, 4.1346, 4.8523 Å; angles 90.00, 90.00, 120.00 degrees
Space group P6_3/mmc (No. 194)
Inequivalent atoms, fractional coordinates:
Re: 0.3333 0.6667 0.2500 x2
Si: 0.3333 0.6667 0.7500 x2

# 20
This record from the Alexandria database describes a geometry-optimized CdCo3B structure. The functional is PBE-GGA.

Values from the calculation:
Energy of formation, meV/atom: 83.5
Uncorrected energy, eV per atom: -5.699
Energy above the most stable polymorph in this dataset, eV per atom: 0.0000

Cell lengths 3.889, 3.889, 3.889 Å; angles 90.00, 90.00, 90.00 degrees
Space group Pm-3m (No. 221)
Inequivalent atoms, fractional coordinates:
Cd: 0.000 0.000 0.000 x1
Co: 0.000 0.500 0.500 x3
B: 0.500 0.500 0.500 x1